a.
Crystalline MgBH2 at its relaxed geometry, computed with PBE.

Unit cell a=5.5634 b=5.5634 c=5.5634 alpha=143.06 beta=143.06 gamma=53.24
Fractional coordinates of all 8 atoms:
Mg1 0.3750 0.6250 0.7500
Mg2 0.6250 0.3750 0.2500
B1 0.1250 0.8750 0.2500
B2 0.8750 0.1250 0.7500
H1 0.0000 0.0000 0.0000
H2 0.0000 0.0000 0.5000
H3 0.0000 0.5000 0.0000
H4 0.5000 0.0000 0.5000

Values from the calculation:
The calculation puts the density of states at the Fermi level at 1.50 states/eV per cell.

---

b.
Crystalline MgBH2 at its relaxed geometry, computed with PBE.

Unit cell a=3.5066 b=3.5066 c=3.5066 alpha=60.00 beta=60.00 gamma=60.00
Fractional coordinates of all 4 atoms:
Mg1 0.0000 0.0000 0.0000
B1 0.5000 0.5000 0.5000
H1 0.2500 0.2500 0.2500
H2 0.7500 0.7500 0.7500

Values from the calculation:
The calculation puts the density of states at the Fermi level at 1.08 states/eV per cell.

---

Last place for stability: b

---

a.
Crystalline Mg2BMoH at its relaxed geometry, computed with PBE.

Unit cell a=4.4149 b=4.4149 c=4.1662 alpha=90.00 beta=90.00 gamma=90.00
Fractional coordinates of all 5 atoms:
Mg1 0.0000 0.5000 0.0000
Mg2 0.5000 0.0000 0.0000
B1 0.0000 0.0000 0.0000
Mo1 0.0000 0.0000 0.5000
H1 0.5000 0.5000 0.5000

Values from the calculation:
The calculation puts the density of states at the Fermi level at 1.95 states/eV per cell.

---

b.
Crystalline Mg2BMoH at its relaxed geometry, computed with PBE.

Unit cell a=3.5394 b=3.5394 c=4.8438 alpha=90.00 beta=90.00 gamma=90.00
Fractional coordinates of all 5 atoms:
Mg1 0.0000 0.5000 0.0000
Mg2 0.5000 0.0000 0.0000
B1 0.0000 0.0000 0.5000
Mo1 0.5000 0.5000 0.5000
H1 0.0000 0.0000 0.0000

Values from the calculation:
The calculation puts the density of states at the Fermi level at 2.17 states/eV per cell.

---

Last place for stability: a

---

a.
Crystalline MnB2H at its relaxed geometry, computed with PBE.

Unit cell a=4.0905 b=4.0905 c=4.0905 alpha=102.03 beta=102.03 gamma=125.67
Fractional coordinates of all 8 atoms:
Mn1 0.0000 0.0000 0.0000
Mn2 0.7500 0.2500 0.5000
B1 0.1937 0.6250 0.0687
B2 0.3750 0.4437 0.5687
B3 0.5563 0.1250 0.9313
B4 0.8750 0.8063 0.4313
H1 0.2500 0.7500 0.5000
H2 0.5000 0.5000 0.0000

Values from the calculation:
The calculation puts the density of states at the Fermi level at 0.21 states/eV per cell.

---

b.
Crystalline MnB2H at its relaxed geometry, computed with PBE.

Unit cell a=3.3795 b=3.3795 c=3.3795 alpha=60.00 beta=60.00 gamma=60.00
Fractional coordinates of all 4 atoms:
Mn1 0.0000 0.0000 0.0000
B1 0.2500 0.2500 0.2500
B2 0.7500 0.7500 0.7500
H1 0.5000 0.5000 0.5000

Values from the calculation:
The calculation puts the density of states at the Fermi level at 1.96 states/eV per cell.

---

Last place for stability: b

---

a.
Crystalline MnB3H at its relaxed geometry, computed with PBE.

Unit cell a=3.1225 b=3.1225 c=3.1225 alpha=90.00 beta=90.00 gamma=90.00
Fractional coordinates of all 5 atoms:
Mn1 0.0000 0.0000 0.0000
B1 0.0000 0.5000 0.5000
B2 0.5000 0.0000 0.5000
B3 0.5000 0.5000 0.0000
H1 0.5000 0.5000 0.5000

Values from the calculation:
The calculation puts the density of states at the Fermi level at 1.65 states/eV per cell.

---

b.
Crystalline MnB3H at its relaxed geometry, computed with PBE.

Unit cell a=3.7959 b=3.7959 c=3.7959 alpha=90.00 beta=90.00 gamma=90.00
Fractional coordinates of all 5 atoms:
Mn1 0.0000 0.0000 0.0000
B1 0.0000 0.0000 0.5000
B2 0.0000 0.5000 0.0000
B3 0.5000 0.0000 0.0000
H1 0.5000 0.5000 0.5000

Values from the calculation:
The calculation puts the density of states at the Fermi level at 2.19 states/eV per cell.

---

Last place for stability: b